Record 1
The following is a DFT calculation (PBE) of a relaxed structure of BeFe2BAs.

a b c (Å): 4.4158 4.4158 3.8961
angles (deg): 90.00 90.00 90.00
With the nearest neighbours (Å) after each atom.
Space group P4/mmm (No. 123)
Symmetry-distinct sites (fractional):
Be (0.0000, 0.0000, 0.0000) x1  8 Fe 2.94, 4 B 3.12
Fe (0.0000, 0.5000, 0.5000) x2  2 As 2.21
B (0.5000, 0.5000, 0.0000) x1  2 As 1.95
As (0.5000, 0.5000, 0.5000) x1  2 B 1.95

Values from the calculation:
**Spin magnetization**: 4.30 μB per cell
**Total DFT energy (no corrections)**: -4.9580 eV per atom
**Energy of formation from the pure elements**: 1.4377 eV/atom

Record 2
The following is a DFT calculation (PBE) of a relaxed structure of BeBAsI2.

a b c (Å): 5.8225 5.8225 4.0679
angles (deg): 90.00 90.00 90.00
With the nearest neighbours (Å) after each atom.
Space group P4/mmm (No. 123)
Symmetry-distinct sites (fractional):
Be (0.0000, 0.0000, 0.0000) x1  8 I 3.55
B (0.5000, 0.5000, 0.0000) x1  2 As 2.03
As (0.5000, 0.5000, 0.5000) x1  2 B 2.03
I (0.0000, 0.5000, 0.5000) x2  2 As 2.91

Values from the calculation:
**Spin magnetization**: 0.00 μB per cell
**Energy relative to the elements, uncorrected**: 1302 meV/atom
**Total DFT energy (no corrections)**: -2.3288 eV per atom

Record 3
The following is a DFT calculation (PBE) of a relaxed structure of BeInB2As.

a b c (Å): 3.8188 3.8188 5.1916
angles (deg): 90.00 90.00 90.00
With the nearest neighbours (Å) after each atom.
Space group P4/mmm (No. 123)
Symmetry-distinct sites (fractional):
Be (0.0000, 0.0000, 0.0000) x1  4 B 1.91
In (0.5000, 0.5000, 0.5000) x1  4 As 2.70
B (0.0000, 0.5000, 0.0000) x2  2 Be 1.91
As (0.0000, 0.0000, 0.5000) x1  2 Be 2.60, 4 In 2.70

Values from the calculation:
**Spin magnetization**: 0.00 μB per cell
**Total DFT energy (no corrections)**: -3.7224 eV per atom
**Energy of formation from the pure elements**: 1.1714 eV/atom

Record 4
The following is a DFT calculation (PBE) of a relaxed structure of KBeB2As.

a b c (Å): 4.2440 4.2440 6.1156
angles (deg): 90.00 90.00 90.00
With the nearest neighbours (Å) after each atom.
Space group P4/mmm (No. 123)
Symmetry-distinct sites (fractional):
K (0.0000, 0.0000, 0.0000) x1  4 Be 3.00, 2 As 3.06
Be (0.5000, 0.5000, 0.0000) x1  4 K 3.00
B (0.0000, 0.5000, 0.5000) x2  2 As 2.12
As (0.0000, 0.0000, 0.5000) x1  4 B 2.12

Values from the calculation:
**Spin magnetization**: 0.00 μB per cell
**Total DFT energy (no corrections)**: -2.7494 eV per atom
**Energy of formation from the pure elements**: 1.8162 eV/atom

Record 5
The following is a DFT calculation (PBE) of a relaxed structure of LiBe2BAs.

a b c (Å): 3.6341 3.6341 4.9636
angles (deg): 90.00 90.00 90.00
With the nearest neighbours (Å) after each atom.
Space group P4/mmm (No. 123)
Symmetry-distinct sites (fractional):
Li (0.0000, 0.0000, 0.0000) x1  4 As 2.57
Be (0.0000, 0.5000, 0.5000) x2  2 B 1.82
B (0.5000, 0.5000, 0.5000) x1  4 Be 1.82
As (0.5000, 0.5000, 0.0000) x1  2 B 2.48, 4 Li 2.57

Values from the calculation:
**Spin magnetization**: 0.00 μB per cell
**Total DFT energy (no corrections)**: -3.8870 eV per atom
**Energy of formation from the pure elements**: 0.2516 eV/atom

Record 6
The following is a DFT calculation (PBE) of a relaxed structure of Be2BAsN.

a b c (Å): 4.1488 4.1488 3.9810
angles (deg): 90.00 90.00 90.00
With the nearest neighbours (Å) after each atom.
Space group P4/mmm (No. 123)
Symmetry-distinct sites (fractional):
Be (0.0000, 0.5000, 0.0000) x2  2 As 2.07
B (0.0000, 0.0000, 0.5000) x1  2 As 1.99
As (0.0000, 0.0000, 0.0000) x1  2 B 1.99, 4 Be 2.07
N (0.5000, 0.5000, 0.5000) x1  8 Be 2.87, 4 B 2.93

Values from the calculation:
**Spin magnetization**: 0.00 μB per cell
**Energy relative to the elements, uncorrected**: 1952 meV/atom
**Total DFT energy (no corrections)**: -3.4693 eV per atom

Record 7
The following is a DFT calculation (PBE) of a relaxed structure of BeB2AsRh.

a b c (Å): 3.5662 3.5662 4.8277
angles (deg): 90.00 90.00 90.00
With the nearest neighbours (Å) after each atom.
Space group P4/mmm (No. 123)
Symmetry-distinct sites (fractional):
Be (0.0000, 0.0000, 0.0000) x1  4 B 1.78
B (0.0000, 0.5000, 0.0000) x2  2 Be 1.78
As (0.5000, 0.5000, 0.5000) x1  4 Rh 2.52
Rh (0.0000, 0.0000, 0.5000) x1  2 Be 2.41, 4 As 2.52

Values from the calculation:
**Spin magnetization**: 0.00 μB per cell
**Total DFT energy (no corrections)**: -4.8269 eV per atom
**Energy of formation from the pure elements**: 0.9895 eV/atom

Record 8
The following is a DFT calculation (PBE) of a relaxed structure of BeBSb2As.

a b c (Å): 5.6043 5.6043 3.9253
angles (deg): 90.00 90.00 90.00
With the nearest neighbours (Å) after each atom.
Space group P4/mmm (No. 123)
Symmetry-distinct sites (fractional):
Be (0.0000, 0.0000, 0.0000) x1  2 As 1.96
B (0.5000, 0.5000, 0.0000) x1  8 Sb 3.42
Sb (0.0000, 0.5000, 0.5000) x2  2 As 2.80
As (0.0000, 0.0000, 0.5000) x1  2 Be 1.96

Values from the calculation:
**Spin magnetization**: 0.00 μB per cell
**Energy relative to the elements, uncorrected**: 1392 meV/atom
**Total DFT energy (no corrections)**: -3.2674 eV per atom

Record 9
The following is a DFT calculation (PBE) of a relaxed structure of BeBAs2Se.

a b c (Å): 4.4518 4.4518 4.5813
angles (deg): 90.00 90.00 90.00
With the nearest neighbours (Å) after each atom.
Space group P4/mmm (No. 123)
Symmetry-distinct sites (fractional):
Be (0.0000, 0.0000, 0.0000) x1  4 As 2.23, 2 Se 2.29
B (0.5000, 0.5000, 0.5000) x1  4 Se 3.15, 8 As 3.19
As (0.0000, 0.5000, 0.0000) x2  2 Be 2.23
Se (0.0000, 0.0000, 0.5000) x1  2 Be 2.29

Values from the calculation:
**Spin magnetization**: 0.00 μB per cell
**Energy relative to the elements, uncorrected**: 1217 meV/atom
**E above lowest polymorph**: 172.1 meV/atom
**Total DFT energy (no corrections)**: -3.4202 eV per atom

Record 10
The following is a DFT calculation (PBE) of a relaxed structure of Be2BAsSe.

a b c (Å): 4.3368 4.3368 4.2405
angles (deg): 90.00 90.00 90.00
With the nearest neighbours (Å) after each atom.
Space group P4/mmm (No. 123)
Symmetry-distinct sites (fractional):
Be (0.0000, 0.5000, 0.0000) x2  2 As 2.17
B (0.0000, 0.0000, 0.5000) x1  2 As 2.12
As (0.0000, 0.0000, 0.0000) x1  2 B 2.12, 4 Be 2.17
Se (0.5000, 0.5000, 0.5000) x1  8 Be 3.03, 4 B 3.07

Values from the calculation:
**Spin magnetization**: 0.00 μB per cell
**Energy relative to the elements, uncorrected**: 973 meV/atom
**Total DFT energy (no corrections)**: -3.4802 eV per atom

Record 11
The following is a DFT calculation (PBE) of a relaxed structure of BeBAs2Se.

a b c (Å): 4.3724 4.3724 4.4303
angles (deg): 90.00 90.00 90.00
With the nearest neighbours (Å) after each atom.
Space group P4/mmm (No. 123)
Symmetry-distinct sites (fractional):
Be (0.0000, 0.0000, 0.0000) x1  4 Se 3.09, 8 As 3.11
B (0.5000, 0.5000, 0.5000) x1  4 As 2.19, 2 Se 2.22
As (0.0000, 0.5000, 0.5000) x2  2 B 2.19
Se (0.5000, 0.5000, 0.0000) x1  2 B 2.22

Values from the calculation:
**Spin magnetization**: 0.00 μB per cell
**Energy relative to the elements, uncorrected**: 1045 meV/atom
**E above lowest polymorph**: 0.0 meV/atom
**Total DFT energy (no corrections)**: -3.5923 eV per atom

Record 12
The following is a DFT calculation (PBE) of a relaxed structure of BeSiB2As.

a b c (Å): 3.8557 3.8557 5.1680
angles (deg): 90.00 90.00 90.00
With the nearest neighbours (Å) after each atom.
Space group P4/mmm (No. 123)
Symmetry-distinct sites (fractional):
Be (0.0000, 0.0000, 0.0000) x1  4 As 2.73
Si (0.5000, 0.5000, 0.5000) x1  4 B 1.93
B (0.0000, 0.5000, 0.5000) x2  2 Si 1.93
As (0.5000, 0.5000, 0.0000) x1  2 Si 2.58, 4 Be 2.73

Values from the calculation:
**Spin magnetization**: 0.00 μB per cell
**Energy relative to the elements, uncorrected**: 1407 meV/atom
**Total DFT energy (no corrections)**: -4.0239 eV per atom

Repeat the fifth record exactly.
The following is a DFT calculation (PBE) of a relaxed structure of LiBe2BAs.

a b c (Å): 3.6341 3.6341 4.9636
angles (deg): 90.00 90.00 90.00
With the nearest neighbours (Å) after each atom.
Space group P4/mmm (No. 123)
Symmetry-distinct sites (fractional):
Li (0.0000, 0.0000, 0.0000) x1  4 As 2.57
Be (0.0000, 0.5000, 0.5000) x2  2 B 1.82
B (0.5000, 0.5000, 0.5000) x1  4 Be 1.82
As (0.5000, 0.5000, 0.0000) x1  2 B 2.48, 4 Li 2.57

Values from the calculation:
**Spin magnetization**: 0.00 μB per cell
**Total DFT energy (no corrections)**: -3.8870 eV per atom
**Energy of formation from the pure elements**: 0.2516 eV/atom

> What is the spin magnetization in the twelfth record?

0.00 μB per cell

> What is the total DFT energy (no corrections) in the sixth record?

-3.4693 eV per atom

> What is the total DFT energy (no corrections) in the eleventh record?

-3.5923 eV per atom